Entry 1:
AlTlSbS3 after structural relaxation. Source: Alexandria via LeMat-Bulk, functional PBE.

The space group is P2_1/m (No. 11) and the conventional cell measures 9.523, 3.760 and 10.017 Å, with angles of 90.00, 93.67 and 90.00 degrees. The asymmetric unit holds Al at (0.068, 0.250, 0.110), Tl at (0.182, 0.250, 0.638), Sb at (0.344, 0.750, 0.360), S at (0.071, 0.250, 0.327), S at (0.155, 0.750, 0.004) and S at (0.478, 0.750, 0.656).


Entry 2:
AlV2SbS after structural relaxation. Source: Alexandria via LeMat-Bulk, functional PBE.

The space group is P4/mmm (No. 123) and the conventional cell measures 5.139, 5.139 and 5.226 Å, with angles of 90.00, 90.00 and 90.00 degrees. The asymmetric unit holds Al at (0.000, 0.000, 0.000), V at (0.000, 0.500, 0.500), Sb at (0.000, 0.000, 0.500) and S at (0.500, 0.500, 0.000).


Entry 3:
ScAl3S after structural relaxation. Source: Alexandria via LeMat-Bulk, functional PBE.

The space group is Pm-3m (No. 221) and the conventional cell measures 4.712, 4.712 and 4.712 Å, with angles of 90.00, 90.00 and 90.00 degrees. The asymmetric unit holds Sc at (0.000, 0.000, 0.000), Al at (0.000, 0.500, 0.500) and S at (0.500, 0.500, 0.500).


Entry 4:
ScAlS3 after structural relaxation. Source: Alexandria via LeMat-Bulk, functional PBE.

The space group is Ama2 (No. 40) and the conventional cell measures 3.721, 21.792 and 6.137 Å, with angles of 90.00, 90.00 and 90.00 degrees. The asymmetric unit holds Sc at (0.250, 0.176, 0.000), Al at (0.250, 0.371, 0.928), S at (0.250, 0.085, 0.280), S at (0.250, 0.277, 0.755) and S at (0.250, 0.375, 0.291).


Entry 5:
ScAlS3 after structural relaxation. Source: Alexandria via LeMat-Bulk, functional PBE.

The space group is Pm-3m (No. 221) and the conventional cell measures 4.928, 4.928 and 4.928 Å, with angles of 90.00, 90.00 and 90.00 degrees. The asymmetric unit holds Sc at (0.000, 0.000, 0.000), Al at (0.500, 0.500, 0.500) and S at (0.000, 0.000, 0.500).


Entry 6:
ScAl2S4 after structural relaxation. Source: Alexandria via LeMat-Bulk, functional PBE.

The space group is P-42m (No. 111) and the conventional cell measures 5.214, 5.214 and 5.984 Å, with angles of 90.00, 90.00 and 90.00 degrees. The asymmetric unit holds Sc at (0.000, 0.000, 0.000), Al at (0.000, 0.500, 0.500) and S at (0.261, 0.261, 0.272).


Entry 7:
ScAlS3 after structural relaxation. Source: Alexandria via LeMat-Bulk, functional PBE.

The space group is P2_1/m (No. 11) and the conventional cell measures 6.244, 3.705 and 10.671 Å, with angles of 90.00, 97.07 and 90.00 degrees. The asymmetric unit holds Sc at (0.008, 0.250, 0.341), Al at (0.439, 0.250, 0.758), S at (0.206, 0.750, 0.242), S at (0.226, 0.250, 0.566) and S at (0.309, 0.750, 0.848).


Entry 8:
Sc2Al2S after structural relaxation. Source: Alexandria via LeMat-Bulk, functional PBE.

The space group is P4/mbm (No. 127) and the conventional cell measures 6.702, 6.702 and 4.559 Å, with angles of 90.00, 90.00 and 90.00 degrees. The asymmetric unit holds Sc at (0.167, 0.333, 0.000), Al at (0.138, 0.638, 0.500) and S at (0.000, 0.000, 0.000).


Entry 9:
ScAl3S6 after structural relaxation. Source: Alexandria via LeMat-Bulk, functional PBE.

The space group is Cmmm (No. 65) and the conventional cell measures 8.595, 12.160 and 3.705 Å, with angles of 90.00, 90.00 and 90.00 degrees. The asymmetric unit holds Sc at (0.000, 0.000, 0.000), Al at (0.000, 0.500, 0.000), Al at (0.250, 0.250, 0.500), S at (0.000, 0.157, 0.500) and S at (0.198, 0.375, 0.000).


Entry 10:
ScAl3S after structural relaxation. Source: Alexandria via LeMat-Bulk, functional PBE.

The space group is Pm-3m (No. 221) and the conventional cell measures 5.364, 5.364 and 5.364 Å, with angles of 90.00, 90.00 and 90.00 degrees. The asymmetric unit holds Sc at (0.000, 0.000, 0.000), Al at (0.000, 0.000, 0.500) and S at (0.500, 0.500, 0.500).


Entry 11:
ScAl6S8 after structural relaxation. Source: Alexandria via LeMat-Bulk, functional PBE.

The space group is R-3 (No. 148, hexagonal axes) and the conventional cell measures 9.6606, 9.6606 and 10.5183 Å, with angles of 90.00, 90.00 and 120.00 degrees. The asymmetric unit holds Sc at (0.0000, 0.0000, 0.0000), Al at (0.0532, 0.2123, 0.6018), S at (0.0000, 0.0000, 0.2574) and S at (0.0090, 0.2920, 0.0888).


Entry 12:
ScAlS3 after structural relaxation. Source: Alexandria via LeMat-Bulk, functional PBE.

The space group is Pm-3m (No. 221) and the conventional cell measures 4.578, 4.578 and 4.578 Å, with angles of 90.00, 90.00 and 90.00 degrees. The asymmetric unit holds Sc at (0.000, 0.000, 0.000), Al at (0.500, 0.500, 0.500) and S at (0.000, 0.500, 0.500).


no.,formation energy from raw total energies (eV per atom),VASP energy (eV per atom)
1,-0.50,-4.2683
2,1.17,-4.8774
3,0.23,-4.1035
4,-1.49,-5.9810
5,-0.36,-4.8555
6,-1.12,-5.4512
7,-1.48,-5.9673
8,-0.68,-5.5314
9,-1.02,-5.2556
10,1.12,-3.2150
11,-0.77,-4.8899
12,-0.71,-5.2017